# 1
Below is a geometry-optimized GdB4Ir4 structure, with properties calculated at the GGA-PBE level.

- calculated density (g/cm³) = 13.74
- total DFT energy (no corrections) (eV per atom) = -9.0282
- space-group type = P4_2/n, No. 86

Cell: 7.664 7.664 3.991 Å, 90.00 90.00 90.00°
Element x y z (fractional)
Gd 0.250 0.250 0.250
Gd 0.750 0.750 0.750
B 0.028 0.908 0.140
B 0.092 0.528 0.640
B 0.408 0.972 0.640
B 0.472 0.592 0.140
B 0.528 0.408 0.860
B 0.592 0.028 0.360
B 0.908 0.472 0.360
B 0.972 0.092 0.860
Ir 0.090 0.640 0.139
Ir 0.140 0.910 0.639
Ir 0.360 0.590 0.639
Ir 0.410 0.860 0.139
Ir 0.590 0.140 0.861
Ir 0.640 0.410 0.361
Ir 0.860 0.090 0.361
Ir 0.910 0.360 0.861

=====

# 2
Below is a geometry-optimized GdB2Ir structure, with properties calculated at the GGA-PBE level.

- calculated density (g/cm³) = 11.08
- total DFT energy (no corrections) (eV per atom) = -9.4832
- space-group type = R-3m, No. 166

Cell: 5.169 5.169 5.169 Å, 41.85 41.85 41.85°
Element x y z (fractional)
Gd 0.000 0.000 0.000
B 0.204 0.204 0.204
B 0.796 0.796 0.796
Ir 0.500 0.500 0.500